Material: TaFeOs
Method: DFT, PBE
State: relaxed

Geometry as POSCAR:
```
TaFeOs
1.0
4.3399 0.0000 0.0000
-2.1700 3.7585 0.0000
0.0000 0.0000 2.7430
Ta Fe Os
1 1 1
Cartesian
0.0000 0.0000 0.0000 Ta
2.1700 1.2528 0.9004 Fe
0.0000 2.5057 1.8115 Os
```

Output
Crystal system: trigonal
Spin magnetization (μB/f.u.): 2.74
Calculated volume (A^3/atom): 14.91


Material: TaFe2Os
Method: DFT, PBE
State: relaxed

Geometry as POSCAR:
```
TaFe2Os
1.0
1.5423 -2.1657 0.0000
1.5423 2.1657 0.0000
0.0000 0.0000 8.4990
Ta Fe Os
1 2 1
Cartesian
0.0000 0.0000 0.0000 Ta
1.5423 0.0000 2.1839 Fe
1.5423 0.0000 6.3151 Fe
0.0000 0.0000 4.2495 Os
```

Output
Crystal system: orthorhombic
Spin magnetization (μB/f.u.): 4.93
Calculated volume (A^3/atom): 14.19


Material: TaFe2Os
Method: DFT, PBE
State: relaxed

Geometry as POSCAR:
```
TaFe2Os
1.0
2.6228 -4.2239 0.0000
2.6228 4.2239 0.0000
-0.8551 0.0000 2.5409
Ta Fe Os
1 2 1
Cartesian
0.0000 0.0000 0.0000 Ta
0.8839 2.1119 1.2705 Fe
0.8839 -2.1119 1.2705 Fe
2.6228 0.0000 0.0000 Os
```

Output
Crystal system: monoclinic
Spin magnetization (μB/f.u.): 4.49
Calculated volume (A^3/atom): 14.07


Material: Ta2FeOs
Method: DFT, PBE
State: relaxed

Geometry as POSCAR:
```
Ta2FeOs
1.0
1.6312 -2.2528 0.0000
1.6312 2.2528 0.0000
0.0000 0.0000 8.5670
Ta Fe Os
2 1 1
Cartesian
0.0000 0.0000 0.0000 Ta
1.6312 0.0000 2.3825 Ta
0.0000 0.0000 4.4657 Fe
1.6312 0.0000 6.4150 Os
```

Output
Crystal system: orthorhombic
Spin magnetization (μB/f.u.): 2.34
Energy above the most stable polymorph in this dataset (meV per atom): 347
Calculated volume (A^3/atom): 15.74


Number 1: density 15.8 Mg/m³, DFT formation energy -0.0395 eV per atom. Number 2: density 14.1 Mg/m³, DFT formation energy 0.2321 eV per atom. Number 3: density 14.2 Mg/m³, DFT formation energy 0.0602 eV per atom. Number 4: density 16.0 Mg/m³, DFT formation energy 0.0837 eV per atom.